No. 1
First-principles (PBE) data for a geometry-optimized Zr4Sb5H structure, as listed in the Alexandria database.

```
data_Zr4Sb5H
_chemical_formula_sum 'Zr8 Sb10 H2'
_cell_length_a 17.252
_cell_length_b 3.166
_cell_length_c 8.566
_cell_angle_alpha 90.00
_cell_angle_beta 97.79
_cell_angle_gamma 90.00
_space_group_name_H-M_alt 'C 1 2/m 1'
_space_group_IT_number 12
_space_group_name_Hall '-C 2y'
loop_
_atom_site_label
_atom_site_fract_x
_atom_site_fract_y
_atom_site_fract_z
Zr1 0.009 0.000 0.316
Zr2 0.161 0.500 0.580
Sb1 0.000 0.500 0.000
Sb2 0.155 0.000 0.876
Sb3 0.175 0.000 0.289
H1 0.000 0.500 0.500
```

Results
The value obtained for the total magnetization is 0.0000 μB/atom. For the density of states at the Fermi level, the calculation gives 6.62 states/eV/f.u. For the final energy, the calculation gives -6.086 eV/atom.

No. 2
First-principles (PBE) data for a geometry-optimized V4Ni4Rh structure, as listed in the Alexandria database.

```
data_V4Ni4Rh
_chemical_formula_sum 'V8 Ni8 Rh2'
_cell_length_a 5.224
_cell_length_b 5.224
_cell_length_c 8.589
_cell_angle_alpha 90.00
_cell_angle_beta 90.00
_cell_angle_gamma 90.00
_space_group_name_H-M_alt 'P 42/n m c'
_space_group_IT_number 137
loop_
_space_group_symop_operation_xyz
'x,y,z'
'-x,-y,-z'
'-y+1/2,x,z+1/2'
'y+1/2,-x,-z+1/2'
'-x+1/2,-y+1/2,z'
'x+1/2,y+1/2,-z'
'y,-x+1/2,z+1/2'
'-y,x+1/2,-z+1/2'
'x+1/2,-y,-z'
'-x+1/2,y,z'
'-y,-x,-z+1/2'
'y,x,z+1/2'
'-x,y+1/2,-z'
'x,-y+1/2,z'
'y+1/2,x+1/2,-z+1/2'
'-y+1/2,-x+1/2,z+1/2'
loop_
_atom_site_label
_atom_site_fract_x
_atom_site_fract_y
_atom_site_fract_z
V1 0.002 0.750 0.019
Ni1 0.033 0.250 0.690
Rh1 0.250 0.750 0.750
```

Results
The value obtained for the total magnetization is 0.0003 μB/atom. For the density of states at the Fermi level, the calculation gives 14.33 states/eV/f.u. The energy of formation comes out at 0.1182 eV per atom. For the final energy, the calculation gives -7.321 eV/atom.

No. 3
First-principles (PBE) data for a geometry-optimized PrThTeIr structure, as listed in the Alexandria database.

```
data_PrThTeIr
_chemical_formula_sum 'Pr3 Th3 Te3 Ir3'
_cell_length_a 4.2210
_cell_length_b 4.2210
_cell_length_c 23.2369
_cell_angle_alpha 90.00
_cell_angle_beta 90.00
_cell_angle_gamma 120.00
_space_group_name_H-M_alt 'R 3 m'
_space_group_IT_number 160
_space_group_name_Hall 'R 3 -2"'
loop_
_atom_site_label
_atom_site_fract_x
_atom_site_fract_y
_atom_site_fract_z
Pr1 0.0000 0.0000 0.0000
Th1 0.0000 0.0000 0.8023
Te1 0.0000 0.0000 0.2341
Ir1 0.0000 0.0000 0.4067
```

Results
The value obtained for the total magnetization is 0.0000 μB/atom. For the density of states at the Fermi level, the calculation gives 0.99 states/eV/f.u. The formation energy (no corrections) comes out at -1.091 eV/atom. For the final energy, the calculation gives -7.142 eV/atom.

In the order shown, the computed V values come out to 463.6, 234.4, 358.5 Å³ per cell.